Computed, not measured: a geometry-optimized CaNbIN2 structure at the PBE-GGA level of DFT.

Properties
- Fermi-level density of states: 2.2 states/eV per cell
- Polymorph energy (0 for the lowest one): 0.0 meV per atom
- V: 98 Å³/cell
- M_tot: 0.00 μB per cell
- Final energy: -6.15 eV/atom

Cell: 4.1888 4.1888 5.5936 Å, 90.00 90.00 90.00°
Space group P4/mmm (No. 123)
Asymmetric unit:
Ca: 0.0000 0.0000 0.0000 x1
Nb: 0.5000 0.5000 0.5000 x1
I: 0.5000 0.5000 0.0000 x1
N: 0.0000 0.5000 0.5000 x2